Record 1
Computed, not measured: an optimized crystal structure of ErPd3Au4 at the GGA-PBE level of DFT.

Values from the calculation:
The value obtained for the polymorph energy (0 for the lowest one) is 0.0 meV/atom. The value obtained for the volume is 141.5 Å³ per cell.

Cell lengths 8.859, 8.859, 4.193 Å; angles 103.62, 103.62, 26.31 degrees
Atoms (fractional coordinates):
Er (0.000, 0.000, 0.000)
Pd (0.375, 0.375, 0.875)
Pd (0.500, 0.500, 0.500)
Pd (0.625, 0.625, 0.125)
Au (0.125, 0.125, 0.625)
Au (0.253, 0.253, 0.253)
Au (0.747, 0.747, 0.747)
Au (0.875, 0.875, 0.375)

=====

Record 2
Computed, not measured: an optimized crystal structure of Er8PdAu2 at the GGA-PBE level of DFT.

Values from the calculation:
As for the electronic total energy: -4.87 eV per atom. The value obtained for the volume is 289.0 Å³ per cell.

Cell lengths 9.081, 9.081, 6.762 Å; angles 103.58, 103.58, 32.31 degrees
Atoms (fractional coordinates):
Er (0.029, 0.029, 0.278)
Er (0.204, 0.204, 0.823)
Er (0.338, 0.338, 0.528)
Er (0.410, 0.410, 0.052)
Er (0.590, 0.590, 0.948)
Er (0.662, 0.662, 0.472)
Er (0.796, 0.796, 0.177)
Er (0.971, 0.971, 0.722)
Pd (0.500, 0.500, 0.500)
Au (0.189, 0.189, 0.232)
Au (0.811, 0.811, 0.768)

=====

Record 3
Computed, not measured: an optimized crystal structure of Er2Pd3Au4 at the GGA-PBE level of DFT.

Values from the calculation:
As for the electronic total energy: -4.92 eV per atom. The value obtained for the volume is 166.5 Å³ per cell.

Cell lengths 5.259, 5.259, 8.818 Å; angles 109.71, 109.71, 47.25 degrees
Atoms (fractional coordinates):
Er (0.173, 0.173, 0.232)
Er (0.827, 0.827, 0.768)
Pd (0.162, 0.162, 0.555)
Pd (0.500, 0.500, 0.000)
Pd (0.838, 0.838, 0.445)
Au (0.164, 0.164, 0.888)
Au (0.492, 0.492, 0.662)
Au (0.508, 0.508, 0.338)
Au (0.836, 0.836, 0.112)

=====

Record 4
Computed, not measured: an optimized crystal structure of Er2Pd5Au5 at the GGA-PBE level of DFT.

Values from the calculation:
The value obtained for the polymorph energy (0 for the lowest one) is 93.4 meV/atom. The value obtained for the volume is 226.0 Å³ per cell.

Cell lengths 7.105, 7.105, 7.593 Å; angles 106.22, 106.22, 38.11 degrees
Atoms (fractional coordinates):
Er (0.143, 0.143, 0.278)
Er (0.857, 0.857, 0.722)
Pd (0.000, 0.000, 0.500)
Pd (0.075, 0.075, 0.889)
Pd (0.219, 0.219, 0.690)
Pd (0.781, 0.781, 0.310)
Pd (0.925, 0.925, 0.111)
Au (0.306, 0.306, 0.083)
Au (0.383, 0.383, 0.486)
Au (0.500, 0.500, 0.000)
Au (0.617, 0.617, 0.514)
Au (0.694, 0.694, 0.917)

=====

Question: What is the volume in the third record?
Answer: 166.5 Å³ per cell

=====

Question: volume of number 4 (Er2Pd5Au5)?
Answer: 226.0 Å³ per cell

=====

Question: Among the records above, which one has the highest volume?
Answer: Er8PdAu2